# 1
Density functional theory data (GGA-PBE) for a geometry-optimized Ga6NiPd structure.

## Properties
Energy of formation from the pure elements   -0.156 eV per atom

Cell lengths 6.719, 8.389, 5.254 Å; angles 90.00, 110.49, 90.00 degrees
Space group C2/m (No. 12)
Symmetry-distinct sites (fractional):
1 Ga 0.070 0.221 0.292 (multiplicity 8)
2 Ga 0.209 0.500 0.148 (multiplicity 4)
3 Ni 0.000 0.000 0.000 (multiplicity 2)
4 Pd 0.000 0.500 0.500 (multiplicity 2)



# 2
Density functional theory data (GGA-PBE) for a geometry-optimized SrCaP2Os structure.

## Properties
Energy of formation from the pure elements   1.935 eV per atom

Cell lengths 5.271, 5.271, 6.147 Å; angles 90.00, 90.00, 90.00 degrees
Space group P4/mmm (No. 123)
Symmetry-distinct sites (fractional):
1 Sr 0.000 0.000 0.000 (multiplicity 1)
2 Ca 0.000 0.000 0.500 (multiplicity 1)
3 P 0.000 0.500 0.000 (multiplicity 2)
4 Os 0.500 0.500 0.500 (multiplicity 1)



# 3
Density functional theory data (GGA-PBE) for a geometry-optimized Ba2TmPbS5 structure.

## Properties
Formation energy (no corrections)   -1566 meV per atom

Cell lengths 4.231, 17.892, 13.176 Å; angles 90.00, 90.00, 90.00 degrees
Space group Cmc2_1 (No. 36)
Symmetry-distinct sites (fractional):
1 Ba 0.000 0.113 0.000 (multiplicity 4)
2 Ba 0.000 0.142 0.622 (multiplicity 4)
3 Tm 0.000 0.213 0.333 (multiplicity 4)
4 Pb 0.000 0.467 0.771 (multiplicity 4)
5 S 0.000 0.059 0.390 (multiplicity 4)
6 S 0.000 0.284 0.965 (multiplicity 4)
7 S 0.000 0.317 0.697 (multiplicity 4)
8 S 0.000 0.360 0.315 (multiplicity 4)
9 S 0.000 0.490 0.079 (multiplicity 4)